No. 1
The following is a DFT calculation (GGA-PBEsol) of a relaxed structure of CaCrPb2.

Symmetry: R3m
E_form (kJ per mole of atoms): 43
Crystal system: trigonal

a b c (Å): 3.5082 3.5082 10.2826
angles (deg): 80.18 80.18 60.00
Closest atoms and distances in Å follow each position.
Fractional positions:
Pb (0.9923, 0.9923, 0.0231)  3 Cr 2.96
Pb (0.7484, 0.7484, 0.7548)  9 Pb 3.38-3.51, 3 Ca 3.40
Cr (0.2541, 0.2541, 0.2378)  3 Pb 2.96, 3 Ca 3.21
Ca (0.5052, 0.5052, 0.4843)  3 Cr 3.21, 3 Pb 3.40, 6 Ca 3.51


No. 2
The following is a DFT calculation (GGA-PBEsol) of a relaxed structure of CaCr2Pb.

Symmetry: R-3m
E_form (kJ per mole of atoms): 91
Crystal system: trigonal

a b c (Å): 3.3403 3.3403 9.8323
angles (deg): 80.22 80.22 60.00
Closest atoms and distances in Å follow each position.
Fractional positions:
Ca (0.0000, 0.0000, 0.0000)  6 Cr 3.23, 6 Ca 3.34
Cr (0.7561, 0.7561, 0.7316)  3 Pb 2.95, 3 Ca 3.23
Cr (0.2439, 0.2439, 0.2684)  3 Pb 2.95, 3 Ca 3.23
Pb (0.5000, 0.5000, 0.5000)  6 Cr 2.95


No. 3
The following is a DFT calculation (GGA-PBEsol) of a relaxed structure of CaCrPt3.

Symmetry: Pm-3m
E_form (kJ per mole of atoms): 18
Crystal system: cubic

a b c (Å): 4.6035 4.6035 4.6035
angles (deg): 90.00 90.00 90.00
Closest atoms and distances in Å follow each position.
Fractional positions:
Pt (0.0000, 0.0000, 0.5000)  2 Cr 2.30
Pt (0.0000, 0.5000, 0.0000)  2 Cr 2.30
Pt (0.5000, 0.0000, 0.0000)  2 Cr 2.30
Cr (0.0000, 0.0000, 0.0000)  6 Pt 2.30
Ca (0.5000, 0.5000, 0.5000)  12 Pt 3.26


No. 4
The following is a DFT calculation (GGA-PBEsol) of a relaxed structure of Ca4CrPt.

Symmetry: F-43m
E_form (kJ per mole of atoms): 76
Crystal system: cubic

a b c (Å): 6.0469 6.0469 6.0469
angles (deg): 60.00 60.00 60.00
Closest atoms and distances in Å follow each position.
Fractional positions:
Cr (0.7500, 0.7500, 0.7500)  12 Ca 3.55, 4 Pt 3.70
Ca (0.3740, 0.8779, 0.3740)  6 Ca 3.00-3.05
Ca (0.8779, 0.3740, 0.3740)  6 Ca 3.00-3.05
Ca (0.3740, 0.3740, 0.8779)  6 Ca 3.00-3.05
Ca (0.3740, 0.3740, 0.3740)  6 Ca 3.00-3.05
Pt (0.0000, 0.0000, 0.0000)  12 Ca 3.54, 4 Cr 3.70


Respective M_tot values: 4.2 8.2 0.0 5.6 μB/cell.